Computed, not measured: FeCo3Hg after structural relaxation at the GGA-PBE level of DFT.

Summary:
The total magnetization is 1.5457 μB/atom. The value obtained for the energy above the most stable polymorph in this dataset is 0 meV/atom. The calculation puts the energy relative to the elements at 1.04 eV per atom. For the theoretical density, the calculation gives 8.8 g cm⁻³.

abc: 4.3373 4.3373 4.3373
angles: 90.00 90.00 90.00
Space group Pm-3m (No. 221)
Unique sites:
Fe: 0.0000 0.0000 0.0000
Co: 0.0000 0.0000 0.5000
Hg: 0.5000 0.5000 0.5000